# 1
{
  "formula": "HoTlSn2",
  "functional": "PBE",
  "state": "optimized geometry",
  "cell": [[4.8283, 0.0000, 0.0000], [0.0000, 4.6724, 0.0000], [0.0000, 0.0000, 4.6724]],
  "species": ["Tl", "Ho", "Sn", "Sn"],
  "frac_coords": [[0.5000, 0.0000, 0.0000], [0.5000, 0.5000, 0.5000], [0.0000, 0.0000, 0.5000], [0.0000, 0.5000, 0.0000]],
  "n_ef_per_ev_atom": 0.4422,
  "delta_e_f_mev_per_atom": -353,
  "space_group": "No. 123",
  "final_energy_ev_per_cell": -16.36
}



# 2
{
  "formula": "Ho4Tl2Sn",
  "functional": "PBE",
  "state": "optimized geometry",
  "cell": [[-5.3677, -4.8178, 3.5537], [-0.4001, -0.9931, -7.9637], [7.3923, -1.8397, 2.5738]],
  "species": ["Ho", "Ho", "Ho", "Ho", "Ho", "Ho", "Ho", "Ho", "Tl", "Tl", "Tl", "Tl", "Sn", "Sn"],
  "frac_coords": [[0.0213, 0.2709, 0.3935], [0.3724, 0.4789, 0.2506], [0.8778, 0.6276, 0.6066], [0.7290, 0.1225, 0.7500], [0.3720, 0.9786, 0.2495], [0.2291, 0.1227, 0.7501], [0.5209, 0.7712, 0.8933], [0.8776, 0.6276, 0.1064], [0.5049, 0.3750, 0.6297], [0.7449, 0.8748, 0.3700], [0.6251, 0.2548, 0.1299], [0.1253, 0.4953, 0.8705], [0.2499, 0.7502, 0.5000], [0.9998, 0.0000, 0.9998]],
  "n_ef_per_ev_atom": 0.7630,
  "delta_e_f_mev_per_atom": -395,
  "space_group": "No. 122",
  "final_energy_ev_per_cell": -59.62
}



Question: Which formula does entry 1 have?
Answer: HoTlSn2